CeTmTh: optimized geometry, PBE.

The structure belongs to space group P3m1 (No. 156); the cell edges are 3.5049, 3.5049 and 8.5481 Å and the angles 90.00°, 90.00° and 120.00°. Symmetry generates all atoms from Ce at (0.0000, 0.0000, 0.0000), Tm at (0.6667, 0.3333, 0.3399) and Th at (0.3333, 0.6667, 0.6760).

The theoretical density is 9.88 g/cm3. The formation energy comes out at 0.13 eV/f.u.